A plane-wave DFT calculation with PBE was carried out for HoPuTe2 after structural relaxation.

The structure in CIF format:
```
data_HoPuTe2
_chemical_formula_sum 'Ho4 Pu4 Te8'
_space_group_name_H-M_alt 'F m -3 m'
_space_group_IT_number 225
_space_group_name_Hall '-F 4 2 3'
_cell_length_a 7.575
_cell_length_b 7.575
_cell_length_c 7.575
_cell_angle_alpha 90.00
_cell_angle_beta 90.00
_cell_angle_gamma 90.00
loop_
_atom_site_label
_atom_site_type_symbol
_atom_site_fract_x
_atom_site_fract_y
_atom_site_fract_z
_atom_site_occupancy
Ho1 Ho 0.000 0.000 0.000 1
Pu1 Pu 0.000 0.000 0.500 1
Te1 Te 0.250 0.250 0.250 1
```

Computed properties:
DOS at the Fermi energy: 20.64 states/eV per cell
calculated density: 10.1 g/cm3
E: -7.3417 eV/atom